A plane-wave DFT calculation with SCAN was carried out for RbTl2In2 at its PBEsol-relaxed geometry.

Output
* V: 314.3 Å³ per cell
* total moment: 0.000 μB per cell
* E above lowest polymorph: 0.0000 eV/atom
* theoretical density: 7648 kg/m3

Cell: 4.9050 4.9050 13.0652 Å, 90.00 90.00 90.00°
Last column: nearest neighbours and their distance in Å.
Space group I4/mmm (No. 139)
Inequivalent atoms, fractional coordinates:
Rb  0.0000  0.0000  0.0000 x2  8 Tl 3.77, 8 In 4.08
Tl  0.0000  0.0000  0.3861 x4  1 Tl 2.98, 4 In 3.03
In  0.0000  0.5000  0.2500 x4  4 Tl 3.03